# Li5Pm2Mg12

A relaxed structure of Li5Pm2Mg12 (PBE, Alexandria).

Summary:
As for the space group: R-3m (166). As for the energy of formation: -0.0401 eV per atom.

Cell lengths 7.6859, 7.6859, 7.6859 Å; angles 82.46, 82.46, 82.46 degrees
Element x y z (fractional)
Li 0.0000 0.0000 0.5000
Li 0.0000 0.5000 0.0000
Li 0.5000 0.0000 0.0000
Li 0.9020 0.9020 0.9020
Li 0.0980 0.0980 0.0980
Pm 0.6545 0.6545 0.6545
Pm 0.3455 0.3455 0.3455
Mg 0.3020 0.6980 0.0000
Mg 0.6980 0.0000 0.3020
Mg 0.0000 0.3020 0.6980
Mg 0.6980 0.3020 0.0000
Mg 0.3020 0.0000 0.6980
Mg 0.0000 0.6980 0.3020
Mg 0.3445 0.3445 0.8534
Mg 0.3445 0.8534 0.3445
Mg 0.8534 0.3445 0.3445
Mg 0.6555 0.1466 0.6555
Mg 0.6555 0.6555 0.1466
Mg 0.1466 0.6555 0.6555